A plane-wave DFT calculation with PBE with a Hubbard U was carried out for CaMnFeF6 after structural relaxation.

Computed properties:
Raw total energy ... -5.9406 eV/atom
Density of states at the Fermi level ... 0.000 states/eV/atom

a = 5.0060 Å, b = 5.0060 Å, c = 10.2233 Å
α = 90.00°, β = 90.00°, γ = 90.00°
Site moments in Bohr magnetons follow the coordinates.
Fractional positions:
F (0.7074, 0.7074, 0.3401)  0.04
F (0.2926, 0.2926, 0.3401)  0.04
F (0.6995, 0.6995, 0.9919)  0.04
F (0.7926, 0.2074, 0.8401)  0.04
F (0.8158, 0.1842, 0.1681)  0.04
F (0.8005, 0.1995, 0.4919)  0.04
F (0.6842, 0.6842, 0.6681)  0.04
F (0.1995, 0.8005, 0.4919)  0.04
F (0.2074, 0.7926, 0.8401)  0.04
F (0.1842, 0.8158, 0.1681)  0.04
F (0.3158, 0.3158, 0.6681)  0.04
F (0.3005, 0.3005, 0.9919)  0.04
Mn (0.5000, 0.5000, 0.4997)  4.70
Mn (0.0000, 0.0000, 0.9997)  4.70
Ca (0.0000, 0.0000, 0.6664)  0.01
Ca (0.5000, 0.5000, 0.1664)  0.01
Fe (0.5000, 0.5000, 0.8337)  3.81
Fe (0.0000, 0.0000, 0.3337)  3.81